Tm5GaAg4 | PBE-GGA | relaxed Values from VASP.

Values from the calculation:
size of the total moment = 0.000 μB per atom
formation energy = -0.39 eV per atom

```
&SYSTEM
  ibrav = 0, nat = 10, ntyp = 3
/
ATOMIC_SPECIES
Tm 168.93 Tm.upf
Ga 69.72 Ga.upf
Ag 107.87 Ag.upf
CELL_PARAMETERS angstrom
3.552 0.000 0.000
0.000 3.552 0.000
0.000 0.000 18.073
ATOMIC_POSITIONS crystal
Tm 0.000 0.000 0.000
Tm 0.000 0.000 0.202
Tm 0.000 0.000 0.403
Tm 0.000 0.000 0.597
Tm 0.000 0.000 0.798
Ga 0.500 0.500 0.500
Ag 0.500 0.500 0.100
Ag 0.500 0.500 0.303
Ag 0.500 0.500 0.697
Ag 0.500 0.500 0.900
```

Tm2Ga2Ag3 | PBE-GGA | relaxed Values from VASP.

Values from the calculation:
size of the total moment = 0.000 μB per atom
formation energy = -0.27 eV per atom

```
&SYSTEM
  ibrav = 0, nat = 14, ntyp = 3
/
ATOMIC_SPECIES
Tm 168.93 Tm.upf
Ga 69.72 Ga.upf
Ag 107.87 Ag.upf
CELL_PARAMETERS angstrom
1.979 -9.991 0.000
1.979 9.991 0.000
0.000 0.000 7.491
ATOMIC_POSITIONS crystal
Tm 0.057 0.943 0.750
Tm 0.156 0.844 0.250
Tm 0.844 0.156 0.750
Tm 0.943 0.057 0.250
Ga 0.315 0.685 0.053
Ga 0.315 0.685 0.447
Ga 0.685 0.315 0.553
Ga 0.685 0.315 0.947
Ag 0.228 0.772 0.750
Ag 0.439 0.561 0.567
Ag 0.439 0.561 0.933
Ag 0.561 0.439 0.067
Ag 0.561 0.439 0.433
Ag 0.772 0.228 0.250
```

Tm2Ga2Ag3 | PBE-GGA | relaxed Values from VASP.

Values from the calculation:
size of the total moment = 0.000 μB per atom
formation energy = -0.33 eV per atom

```
&SYSTEM
  ibrav = 0, nat = 7, ntyp = 3
/
ATOMIC_SPECIES
Tm 168.93 Tm.upf
Ga 69.72 Ga.upf
Ag 107.87 Ag.upf
CELL_PARAMETERS angstrom
2.088 -9.770 0.000
2.088 9.770 0.000
0.000 0.000 3.483
ATOMIC_POSITIONS crystal
Tm 0.156 0.844 0.000
Tm 0.844 0.156 0.000
Ga 0.287 0.713 0.500
Ga 0.713 0.287 0.500
Ag 0.000 0.000 0.000
Ag 0.429 0.571 0.500
Ag 0.571 0.429 0.500
```

Tm4Ga2Ag | PBE-GGA | relaxed Values from VASP.

Values from the calculation:
size of the total moment = 0.000 μB per atom
formation energy = -0.25 eV per atom

```
&SYSTEM
  ibrav = 0, nat = 7, ntyp = 3
/
ATOMIC_SPECIES
Tm 168.93 Tm.upf
Ga 69.72 Ga.upf
Ag 107.87 Ag.upf
CELL_PARAMETERS angstrom
2.423 1.399 8.985
-2.423 1.399 8.985
0.000 -2.798 8.985
ATOMIC_POSITIONS crystal
Tm 0.120 0.120 0.120
Tm 0.296 0.296 0.296
Tm 0.704 0.704 0.704
Tm 0.880 0.880 0.880
Ga 0.404 0.404 0.404
Ga 0.596 0.596 0.596
Ag 0.500 0.500 0.500
```